{
  "formula": "KCu2Sb",
  "functional": "PBE-GGA",
  "state": "optimized geometry",
  "lattice_angstrom": [[3.343, 0.000, 0.000], [0.000, 3.343, 0.000], [0.000, 0.000, 7.959]],
  "species": ["K", "Cu", "Cu", "Sb"],
  "frac_coords": [[0.000, 0.000, 0.000], [0.000, 0.000, 0.567], [0.500, 0.500, 0.680], [0.500, 0.500, 0.348]],
  "e_tot_ev_per_cell": -12.8,
  "sg": "No. 99",
  "density_g_cm3": 5.37,
  "formation_energy_uncorrected_ev_per_atom": 0.162,
  "volume_a3_per_cell": 89.0
}